DFT (GGA-PBE) results for crystalline ThFe3 at its relaxed geometry.

abc: 3.966 3.966 3.966
angles: 90.00 90.00 90.00
Fractional coordinates of all 4 atoms:
Fe (0.500, 0.000, 0.500)
Fe (0.000, 0.500, 0.500)
Fe (0.500, 0.500, 0.000)
Th (0.000, 0.000, 0.000)

Output
- Total DFT energy (no corrections): -7.811 eV/atom